This record from Alexandria via LeMat-Bulk describes an optimized crystal structure of RbGe2Pd2. The functional is PBE-GGA.

```
10
Lattice="-5.069 5.008 -4.237 1.242 -4.525 -6.835 -2.363 -1.766 0.740" Properties=species:S:1:pos:R:3 pbc="T T T"
Rb 0.000 0.000 0.000
Rb -1.914 0.242 -5.536
Ge -5.116 1.798 -5.800
Ge -1.073 -3.081 -4.532
Ge -2.870 0.344 -2.097
Ge -3.320 -1.626 -8.235
Pd -0.183 -1.049 -3.087
Pd -3.022 2.566 -3.528
Pd -0.805 -2.082 -7.544
Pd -3.645 1.532 -7.985
```

Output
- energy relative to the lowest polymorph listed for this composition (kJ/mol of atoms) = 23.7
- size of the total moment (μB per formula unit) = 0.00
- electronic total energy (eV/atom) = -4.24



This record from Alexandria via LeMat-Bulk describes an optimized crystal structure of LuPuFe4. The functional is PBE-GGA.

```
6
Lattice="5.068 0.000 0.000 2.534 4.389 0.000 2.534 1.463 4.138" Properties=species:S:1:pos:R:3 pbc="T T T"
Lu 2.534 1.463 1.034
Fe 3.802 3.657 2.586
Fe 6.334 3.657 2.586
Fe 5.068 1.464 2.586
Fe 5.068 2.926 0.518
Pu 0.000 0.000 0.000
```

Output
- size of the total moment (μB per formula unit) = 2.48
- electronic total energy (eV/atom) = -8.90



This record from Alexandria via LeMat-Bulk describes an optimized crystal structure of Nd2PuGe3. The functional is PBE-GGA.

```
12
Lattice="-1.907 1.032 5.585 2.669 -7.739 2.341 6.003 3.849 -1.875" Properties=species:S:1:pos:R:3 pbc="T T T"
Pu 0.667 -1.935 0.586
Pu 0.095 -4.773 7.341
Ge 3.102 -3.118 1.636
Ge 3.663 0.260 4.416
Ge -0.286 -1.419 3.378
Ge 1.049 -5.289 4.548
Ge 1.768 0.751 0.465
Ge 4.997 -3.610 5.587
Nd 5.763 -4.206 2.745
Nd 4.429 -0.336 1.574
Nd 1.001 1.347 3.306
Nd 2.336 -2.522 4.477
```

Output
- size of the total moment (μB per formula unit) = 4.74
- electronic total energy (eV/atom) = -6.79



This record from Alexandria via LeMat-Bulk describes an optimized crystal structure of BeAlIn2Bi. The functional is PBE-GGA.

```
5
Lattice="6.145 0.000 0.000 0.000 4.410 0.000 0.000 0.000 6.145" Properties=species:S:1:pos:R:3 pbc="T T T"
In 3.072 0.000 0.000
In 0.000 0.000 3.072
Be 0.000 2.205 0.000
Al 3.072 2.205 3.072
Bi 0.000 0.000 0.000
```

Output
- size of the total moment (μB per formula unit) = 0.00
- electronic total energy (eV/atom) = -2.41



This record from Alexandria via LeMat-Bulk describes an optimized crystal structure of OsPbCl2. The functional is PBE-GGA.

```
4
Lattice="-1.478 -2.214 2.032 -0.865 -1.856 -2.650 6.812 -4.012 0.585" Properties=species:S:1:pos:R:3 pbc="T T T"
Cl 1.199 -3.431 -0.105
Cl 6.626 -3.903 0.569
Os 3.016 -1.776 0.259
Pb 3.845 -4.989 0.122
```

Output
- energy relative to the lowest polymorph listed for this composition (kJ/mol of atoms) = 38.2
- size of the total moment (μB per formula unit) = 0.18
- formation energy (no corrections) (meV per atom) = 507.5
- electronic total energy (eV/atom) = -4.15



This record from Alexandria via LeMat-Bulk describes an optimized crystal structure of LiIrBr6. The functional is PBE-GGA.

```
8
Lattice="-2.522 6.714 1.530 1.182 -2.394 -6.183 -4.960 -4.210 2.045" Properties=species:S:1:pos:R:3 pbc="T T T"
Br -2.315 1.159 0.197
Br 0.045 0.297 -3.064
Br -1.386 4.023 -1.590
Br -3.524 4.347 1.166
Br -2.776 -4.237 -3.776
Br -3.985 -1.050 -2.806
Ir -1.261 3.357 0.765
Li 0.000 0.000 0.000
```

Output
- energy relative to the lowest polymorph listed for this composition (kJ/mol of atoms) = 0.0
- size of the total moment (μB per formula unit) = 1.11
- formation energy (no corrections) (meV per atom) = -421.0
- electronic total energy (eV/atom) = -3.02



This record from Alexandria via LeMat-Bulk describes an optimized crystal structure of SrPuSb2. The functional is PBE-GGA.

```
4
Lattice="3.729 0.000 0.000 0.000 3.729 0.000 0.000 0.000 8.533" Properties=species:S:1:pos:R:3 pbc="T T T"
Pu 1.865 1.865 0.000
Sr 1.865 1.865 4.266
Sb 0.000 0.000 6.528
Sb 0.000 0.000 2.005
```

Output
- energy relative to the lowest polymorph listed for this composition (kJ/mol of atoms) = 5.2
- size of the total moment (μB per formula unit) = 5.68
- formation energy (no corrections) (meV per atom) = -666.4
- electronic total energy (eV/atom) = -6.73



This record from Alexandria via LeMat-Bulk describes an optimized crystal structure of BaCd3Hg3. The functional is PBE-GGA.

```
14
Lattice="7.909 0.000 0.000 0.000 7.909 0.000 0.000 0.000 7.909" Properties=species:S:1:pos:R:3 pbc="T T T"
Hg 3.955 0.000 1.977
Hg 1.977 3.955 0.000
Hg 0.000 1.977 3.955
Hg 0.000 5.932 3.955
Hg 5.932 3.955 0.000
Hg 3.955 0.000 5.932
Cd 3.955 5.932 0.000
Cd 5.932 0.000 3.955
Cd 3.955 1.977 0.000
Cd 1.977 0.000 3.955
Cd 0.000 3.955 1.977
Cd 0.000 3.955 5.932
Ba 3.955 3.955 3.955
Ba 0.000 0.000 0.000
```

Output
- energy relative to the lowest polymorph listed for this composition (kJ/mol of atoms) = 23.4
- size of the total moment (μB per formula unit) = 0.00
- electronic total energy (eV/atom) = -0.81



The highest electronic total energy belongs to which entry?
BaCd3Hg3



Which of these has the highest electronic total energy?
BaCd3Hg3